# YZnSb2, relaxed, DFT PBE
# - Raw total energy: -4.479 eV per atom
# - D(E_F): 0.323 states/eV per atom
# - Energy relative to the elements, uncorrected: -0.484 eV per atom
data_YZnSb2
_chemical_formula_sum 'Y2 Zn2 Sb4'
_cell_length_a 11.0444
_cell_length_b 4.2050
_cell_length_c 4.4804
_cell_angle_alpha 90.00
_cell_angle_beta 103.02
_cell_angle_gamma 90.00
_space_group_name_H-M_alt 'C 1 m 1'
_space_group_IT_number 8
loop_
_space_group_symop_operation_xyz
'x,y,z'
'x,-y,z'
'x+1/2,y+1/2,z'
'x+1/2,-y+1/2,z'
loop_
_atom_site_label
_atom_site_fract_x
_atom_site_fract_y
_atom_site_fract_z
Y1 0.0000 0.0000 0.0000
Zn1 0.2780 0.5000 0.3683
Sb1 0.0492 0.5000 0.5254
Sb2 0.2828 0.0000 0.9501

# YZn2Sb, relaxed, DFT PBE
# - Raw total energy: -3.319 eV per atom
# - D(E_F): 0.858 states/eV per atom
# - Energy relative to the elements, uncorrected: -0.036 eV per atom
data_YZn2Sb
_chemical_formula_sum 'Y3 Zn6 Sb3'
_cell_length_a 3.4478
_cell_length_b 3.4478
_cell_length_c 27.3160
_cell_angle_alpha 90.00
_cell_angle_beta 90.00
_cell_angle_gamma 120.00
_space_group_name_H-M_alt 'R 3 m'
_space_group_IT_number 160
_space_group_name_Hall 'R 3 -2"'
loop_
_atom_site_label
_atom_site_fract_x
_atom_site_fract_y
_atom_site_fract_z
Y1 0.0000 0.0000 0.0000
Zn1 0.0000 0.0000 0.2471
Zn2 0.0000 0.0000 0.5149
Sb1 0.0000 0.0000 0.7608

# YZn2Sb, relaxed, DFT PBE
# - Raw total energy: -3.640 eV per atom
# - D(E_F): 0.633 states/eV per atom
# - Energy relative to the elements, uncorrected: -0.356 eV per atom
data_YZn2Sb
_chemical_formula_sum 'Y2 Zn4 Sb2'
_cell_length_a 4.1504
_cell_length_b 4.2558
_cell_length_c 9.8461
_cell_angle_alpha 90.00
_cell_angle_beta 90.00
_cell_angle_gamma 90.00
_space_group_name_H-M_alt 'I m m 2'
_space_group_IT_number 44
loop_
_space_group_symop_operation_xyz
'x,y,z'
'-x,-y,z'
'-x,y,z'
'x,-y,z'
'x+1/2,y+1/2,z+1/2'
'-x+1/2,-y+1/2,z+1/2'
'-x+1/2,y+1/2,z+1/2'
'x+1/2,-y+1/2,z+1/2'
loop_
_atom_site_label
_atom_site_fract_x
_atom_site_fract_y
_atom_site_fract_z
Y1 0.0000 0.0000 0.0000
Zn1 0.0000 0.0000 0.4499
Zn2 0.0000 0.5000 0.7524
Sb1 0.0000 0.5000 0.2399

# Y2ZnSb, relaxed, DFT PBE
# - Raw total energy: -5.122 eV per atom
# - D(E_F): 1.026 states/eV per atom
# - Energy relative to the elements, uncorrected: -0.541 eV per atom
# - Excess energy over the best structure of this formula in the dataset: 200 meV/atom
data_Y2ZnSb
_chemical_formula_sum 'Y2 Zn1 Sb1'
_cell_length_a 4.3041
_cell_length_b 4.3041
_cell_length_c 6.0946
_cell_angle_alpha 90.00
_cell_angle_beta 90.00
_cell_angle_gamma 90.00
_space_group_name_H-M_alt 'P 4 m m'
_space_group_IT_number 99
loop_
_space_group_symop_operation_xyz
'x,y,z'
'-y,x,z'
'-x,-y,z'
'y,-x,z'
'-x,y,z'
'y,x,z'
'x,-y,z'
'-y,-x,z'
loop_
_atom_site_label
_atom_site_fract_x
_atom_site_fract_y
_atom_site_fract_z
Y1 0.0000 0.0000 0.0000
Y2 0.5000 0.5000 0.4986
Zn1 0.0000 0.0000 0.5001
Sb1 0.5000 0.5000 0.9985

# YZn2Sb, relaxed, DFT PBE
# - Raw total energy: -3.430 eV per atom
# - D(E_F): 0.893 states/eV per atom
# - Energy relative to the elements, uncorrected: -0.147 eV per atom
data_YZn2Sb
_chemical_formula_sum 'Y4 Zn8 Sb4'
_cell_length_a 7.1672
_cell_length_b 7.1672
_cell_length_c 7.1672
_cell_angle_alpha 90.00
_cell_angle_beta 90.00
_cell_angle_gamma 90.00
_space_group_name_H-M_alt 'F -4 3 m'
_space_group_IT_number 216
_space_group_name_Hall 'F -4 2 3'
loop_
_atom_site_label
_atom_site_fract_x
_atom_site_fract_y
_atom_site_fract_z
Y1 0.0000 0.0000 0.0000
Zn1 0.0000 0.0000 0.5000
Zn2 0.2500 0.2500 0.2500
Sb1 0.2500 0.2500 0.7500

# Y2ZnSb, relaxed, DFT PBE
# - Raw total energy: -4.879 eV per atom
# - D(E_F): 1.109 states/eV per atom
# - Energy relative to the elements, uncorrected: -0.298 eV per atom
# - Excess energy over the best structure of this formula in the dataset: 443 meV/atom
data_Y2ZnSb
_chemical_formula_sum 'Y2 Zn1 Sb1'
_cell_length_a 3.6523
_cell_length_b 3.6523
_cell_length_c 7.9057
_cell_angle_alpha 90.00
_cell_angle_beta 90.00
_cell_angle_gamma 90.00
_space_group_name_H-M_alt 'P 4 m m'
_space_group_IT_number 99
loop_
_space_group_symop_operation_xyz
'x,y,z'
'-y,x,z'
'-x,-y,z'
'y,-x,z'
'-x,y,z'
'y,x,z'
'x,-y,z'
'-y,-x,z'
loop_
_atom_site_label
_atom_site_fract_x
_atom_site_fract_y
_atom_site_fract_z
Y1 0.0000 0.0000 0.0000
Y2 0.5000 0.5000 0.3246
Zn1 0.0000 0.0000 0.5499
Sb1 0.5000 0.5000 0.7384

# Y2ZrSb, relaxed, DFT PBE
# - Raw total energy: -6.710 eV per atom
# - D(E_F): 1.246 states/eV per atom
# - Energy relative to the elements, uncorrected: -0.310 eV per atom
data_Y2ZrSb
_chemical_formula_sum 'Y4 Zr2 Sb2'
_cell_length_a 6.7060
_cell_length_b 9.3843
_cell_length_c 3.3396
_cell_angle_alpha 90.00
_cell_angle_beta 90.00
_cell_angle_gamma 90.00
_space_group_name_H-M_alt 'C m m m'
_space_group_IT_number 65
_space_group_name_Hall '-C 2 2'
loop_
_atom_site_label
_atom_site_fract_x
_atom_site_fract_y
_atom_site_fract_z
Y1 0.2500 0.2500 0.0000
Zr1 0.0000 0.0000 0.5000
Sb1 0.0000 0.5000 0.5000

# Y2ZrSb, relaxed, DFT PBE
# - Raw total energy: -6.393 eV per atom
# - D(E_F): 0.983 states/eV per atom
# - Energy relative to the elements, uncorrected: 0.006 eV per atom
data_Y2ZrSb
_chemical_formula_sum 'Y8 Zr4 Sb4'
_cell_length_a 8.6516
_cell_length_b 8.6516
_cell_length_c 6.1349
_cell_angle_alpha 90.00
_cell_angle_beta 90.00
_cell_angle_gamma 90.00
_space_group_name_H-M_alt 'I -4 2 d'
_space_group_IT_number 122
_space_group_name_Hall 'I -4 2bw'
loop_
_atom_site_label
_atom_site_fract_x
_atom_site_fract_y
_atom_site_fract_z
Y1 0.2248 0.7500 0.1250
Zr1 0.0000 0.0000 0.5000
Sb1 0.0000 0.0000 0.0000